Record 1
Material: KPtSe2
Method: DFT, meta-GGA SCAN
State: PBEsol geometry

Values from the calculation:
- Energy relative to the elements, uncorrected: -0.062 eV/atom
- DOS(E_F): 0.398 states/eV per atom
- Space-group type: No. 160

a = 3.7066 Å, b = 3.7066 Å, c = 8.3654 Å
α = 77.20°, β = 77.20°, γ = 60.00°
Last column: nearest neighbours and their distance in Å.
Fractional positions:
K1 0.4987 0.4987 0.5038  3 Se 3.17, 3 Pt 3.41
Pt1 0.2749 0.2749 0.1752  3 Se 2.45
Se1 0.9908 0.9908 0.0275  3 Pt 2.45
Se2 0.7355 0.7355 0.7934  3 Se 2.86, 3 K 3.17

Record 2
Material: LiTe2
Method: DFT, meta-GGA SCAN
State: PBEsol geometry

Values from the calculation:
- Energy relative to the elements, uncorrected: -0.521 eV/atom
- Polymorph energy (0 for the lowest one): 0 meV per atom
- Space-group type: No. 12

a = 4.3083 Å, b = 6.3954 Å, c = 8.2591 Å
α = 58.77°, β = 74.88°, γ = 70.32°
Last column: nearest neighbours and their distance in Å.
Fractional positions:
Te1 0.2779 0.9999 0.4444  4 Li 2.76, 2 Te 2.99
Te2 0.4268 0.4436 0.7029  1 Li 2.78, 3 Te 2.99-3.01
Te3 0.1288 0.5563 0.1861  1 Li 2.78, 3 Te 2.99-3.01
Te4 0.7778 0.5000 0.9444  2 Li 2.86, 4 Te 3.01
Li1 0.8907 0.9844 0.2342  4 Te 2.76-2.86
Li2 0.6648 0.0159 0.6546  4 Te 2.76-2.86

Record 3
Material: LiLa2Hg
Method: DFT, meta-GGA SCAN
State: PBEsol geometry

Values from the calculation:
- DOS(E_F): 1.027 states/eV per atom
- Space-group type: No. 123

a = 4.0952 Å, b = 5.1962 Å, c = 5.1962 Å
α = 90.00°, β = 90.00°, γ = 90.00°
Last column: nearest neighbours and their distance in Å.
Fractional positions:
La1 0.0000 0.5000 0.0000  4 Hg 3.31, 4 Li 3.31, 4 La 3.67
La2 0.0000 0.0000 0.5000  4 Hg 3.31, 4 Li 3.31, 4 La 3.67
Hg1 0.5000 0.5000 0.5000  8 La 3.31, 4 Li 3.67
Li1 0.5000 0.0000 0.0000  8 La 3.31, 4 Hg 3.67

Record 4
Material: KPdS3
Method: DFT, meta-GGA SCAN
State: PBEsol geometry

Values from the calculation:
- Energy relative to the elements, uncorrected: -0.149 eV/atom
- DOS(E_F): 0.741 states/eV per atom
- Space-group type: No. 221

a = 4.7467 Å, b = 4.7467 Å, c = 4.7467 Å
α = 90.00°, β = 90.00°, γ = 90.00°
Last column: nearest neighbours and their distance in Å.
Fractional positions:
K1 0.5000 0.5000 0.5000  12 S 3.36
S1 0.0000 0.5000 0.0000  2 Pd 2.37
S2 0.0000 0.0000 0.5000  2 Pd 2.37
S3 0.5000 0.0000 0.0000  2 Pd 2.37
Pd1 0.0000 0.0000 0.0000  6 S 2.37

Record 5
Material: CoReNi
Method: DFT, meta-GGA SCAN
State: PBEsol geometry

Values from the calculation:
- Polymorph energy (0 for the lowest one): 0 meV per atom
- DOS(E_F): 0.649 states/eV per atom
- Space-group type: No. 44

a = 2.5851 Å, b = 3.5757 Å, c = 4.3553 Å
α = 114.24°, β = 107.26°, γ = 90.00°
Last column: nearest neighbours and their distance in Å.
Fractional positions:
Re1 0.3348 0.3348 0.6695  5 Ni 2.49-2.55, 5 Co 2.52-2.53, 2 Re 2.59
Co1 0.9995 0.9995 0.9990  5 Ni 2.51-2.53, 5 Re 2.52-2.53, 2 Co 2.59
Ni1 0.6657 0.6657 0.3314  5 Re 2.49-2.55, 5 Co 2.51-2.53, 2 Ni 2.59

Record 6
Material: SrMgSnP2O8
Method: DFT, meta-GGA SCAN
State: PBEsol geometry

Values from the calculation:
- Energy relative to the elements, uncorrected: -2.673 eV/atom
- DOS(E_F): 0.000 states/eV per atom
- Space-group type: No. 2

a = 5.3577 Å, b = 8.3741 Å, c = 10.2071 Å
α = 119.13°, β = 106.87°, γ = 87.56°
Last column: nearest neighbours and their distance in Å.
Fractional positions:
Sr1 0.8910 0.2547 0.9932  7 O 2.49-2.77
Sr2 0.1090 0.7453 0.0068  7 O 2.49-2.77
Mg1 0.6308 0.3147 0.6185  4 O 1.93-1.98
Mg2 0.3692 0.6853 0.3815  4 O 1.93-1.98
Sn1 0.0136 0.7899 0.6309  3 O 2.11-2.28
Sn2 0.9864 0.2101 0.3691  3 O 2.11-2.28
P1 0.8122 0.7663 0.2514  4 O 1.53-1.57
P2 0.1878 0.2337 0.7486  4 O 1.53-1.57
P3 0.4437 0.2518 0.2365  4 O 1.53-1.58
P4 0.5563 0.7482 0.7635  4 O 1.53-1.58
O1 0.1599 0.4081 0.8926  1 P 1.53
O2 0.5436 0.7706 0.2796  1 P 1.54
O3 0.1448 0.0730 0.7805  1 P 1.57
O4 0.6954 0.5785 0.7494  1 P 1.54
O5 0.4564 0.2294 0.7204  1 P 1.54
O6 0.4156 0.7303 0.5970  1 P 1.58
O7 0.5844 0.2697 0.4030  1 P 1.58
O8 0.7700 0.9123 0.8628  1 P 1.53
O9 0.8552 0.9270 0.2195  1 P 1.57
O10 0.2300 0.0877 0.1372  1 P 1.53
O11 0.8401 0.5919 0.1074  1 P 1.53
O12 0.0404 0.7967 0.4002  1 P 1.56
O13 0.9596 0.2033 0.5998  1 P 1.56
O14 0.6805 0.2372 0.1743  1 P 1.55
O15 0.3046 0.4215 0.2506  1 P 1.54
O16 0.3195 0.7628 0.8257  1 P 1.55

Taking the records one at a time from the top gives VASP energy values of -29.731 -26.152 -39.558 -14.146 -34.791 -12.967 eV/atom.